{
  "formula": "Ce4MnGa",
  "functional": "GGA-PBE",
  "state": "relaxed",
  "lattice_angstrom": [[5.6527, 0.1447, -1.1570], [-2.0975, 6.6355, -2.6174], [0.1365, -0.3228, 7.4268]],
  "species": ["Ce", "Ce", "Ce", "Ce", "Ce", "Ce", "Ce", "Ce", "Mn", "Mn", "Ga", "Ga"],
  "fractional_positions": [[0.8337, 0.6325, 0.8145], [0.0762, 0.9350, 0.3073], [0.6663, 0.1855, 0.3675], [0.4238, 0.6927, 0.0650], [0.5762, 0.3073, 0.9350], [0.3337, 0.8145, 0.6325], [0.9238, 0.0650, 0.6927], [0.1663, 0.3675, 0.1855], [0.2500, 0.0058, 0.9942], [0.7500, 0.9942, 0.0058], [0.7500, 0.6127, 0.3873], [0.2500, 0.3873, 0.6127]],
  "crystal_system": "monoclinic",
  "magnetic_moment_mub_per_fu": 0.001,
  "vol_a3_per_atom": 23.0,
  "e_form_ev_per_atom": -0.138
}